No. 1
Below is a relaxed structure of K2HfNi2S4, with properties calculated at the PBE-GGA level.

Calculated values
As for the raw formation energy: -103 kJ/mol of atoms. Its total moment is 0.7 μB per cell. As for the density of states at the Fermi level: 6.13 states/eV/f.u. As for the space group: No. 12.

Unit cell a=7.085 b=7.085 c=7.545 alpha=107.48 beta=107.48 gamma=30.20
Atoms (fractional coordinates):
K 0.135 0.135 0.059
K 0.865 0.865 0.941
Hf 0.000 0.000 0.500
Ni 0.318 0.318 0.506
Ni 0.682 0.682 0.494
S 0.197 0.197 0.669
S 0.480 0.480 0.725
S 0.520 0.520 0.275
S 0.803 0.803 0.331


No. 2
Below is a relaxed structure of CaTiSb, with properties calculated at the PBE-GGA level.

Calculated values
As for the raw formation energy: -64 kJ/mol of atoms. Its total moment is 0.0 μB per cell. As for the density of states at the Fermi level: 2.04 states/eV/f.u. As for the space group: No. 129.

Unit cell a=4.273 b=4.273 c=8.102 alpha=90.00 beta=90.00 gamma=90.00
Atoms (fractional coordinates):
Ca 0.250 0.250 0.159
Ca 0.750 0.750 0.841
Ti 0.250 0.750 0.500
Ti 0.750 0.250 0.500
Sb 0.250 0.250 0.740
Sb 0.750 0.750 0.260


No. 3
Below is a relaxed structure of TiTc2Mo, with properties calculated at the PBE-GGA level.

Calculated values
Its total moment is 0.0 μB per cell. As for the density of states at the Fermi level: 5.93 states/eV/f.u. The value obtained for the energy above the most stable polymorph in this dataset is 0.814 eV per atom. As for the space group: No. 122. The calculation puts the formation energy from the elements at 0.465 eV/atom.

Unit cell a=7.019 b=7.019 c=5.293 alpha=90.00 beta=90.00 gamma=90.00
Atoms (fractional coordinates):
Ti 0.000 0.000 0.000
Ti 0.000 0.500 0.250
Ti 0.500 0.000 0.750
Ti 0.500 0.500 0.500
Tc 0.241 0.250 0.625
Tc 0.250 0.741 0.875
Tc 0.250 0.759 0.375
Tc 0.259 0.250 0.125
Tc 0.741 0.750 0.125
Tc 0.750 0.241 0.375
Tc 0.750 0.259 0.875
Tc 0.759 0.750 0.625
Mo 0.000 0.000 0.500
Mo 0.000 0.500 0.750
Mo 0.500 0.000 0.250
Mo 0.500 0.500 0.000